DFT (PBE-GGA) results for a geometry-optimized Sr3NpI2O6 structure.

- energy (eV per atom) = -6.39
- mass density (kg/m³) = 4927

Lattice parameters (Å, degrees): 12.645 7.076 6.474 90.00 98.64 90.00
Space group C2/m (No. 12)
Unique sites:
Sr  0.000  0.000  0.000
Sr  0.250  0.250  0.500
Np  0.000  0.500  0.500
I  0.242  0.000  0.916
O  0.051  0.284  0.323
O  0.153  0.500  0.637

DFT (PBE-GGA) results for a geometry-optimized PrTmZnAg structure.

- energy of formation (eV per atom) = -0.311
- ΔE to the lowest computed polymorph (kJ/mol of atoms) = 0.00
- energy (eV per atom) = -3.65
- mass density (kg/m³) = 8256

Lattice parameters (Å, degrees): 3.627 3.627 7.388 90.00 90.00 90.00
Space group P4mm (No. 99)
Unique sites:
Pr  0.000  0.000  0.000
Tm  0.000  0.000  0.516
Zn  0.500  0.500  0.737
Ag  0.500  0.500  0.291

DFT (PBE-GGA) results for a geometry-optimized Na2B4O7 structure.

- ΔE to the lowest computed polymorph (kJ/mol of atoms) = 1.57
- energy (eV per atom) = -7.28
- mass density (kg/m³) = 2673

Lattice parameters (Å, degrees): 7.7309 7.7309 21.7350 90.00 90.00 120.00
Space group P3_221 (No. 154)
Unique sites:
Na  0.0000  0.3228  0.3333
Na  0.0000  0.3669  0.8333
Na  0.0053  0.3536  0.1613
Na  0.0186  0.3135  0.9996
B  0.0044  0.0146  0.5633
B  0.0075  0.6554  0.4280
B  0.0110  0.6824  0.0840
B  0.0134  0.6747  0.9271
B  0.3149  0.6521  0.2605
B  0.3248  0.6575  0.3878
O  0.0000  0.9341  0.8333
O  0.0512  0.8623  0.7317
O  0.0782  0.8559  0.4190
O  0.0885  0.8867  0.0882
O  0.1138  0.5853  0.7330
O  0.1326  0.6040  0.0718
O  0.1398  0.5838  0.4257
O  0.1900  0.7456  0.5734
O  0.1909  0.7151  0.2236
O  0.2132  0.7444  0.9141
O  0.2622  0.6543  0.3245

DFT (PBE-GGA) results for a geometry-optimized CrInAs2 structure.

- energy of formation (eV per atom) = 0.261
- energy (eV per atom) = -5.15
- mass density (kg/m³) = 6663

Lattice parameters (Å, degrees): 5.715 7.503 3.680 90.00 90.00 90.00
Space group Cmmm (No. 65)
Unique sites:
Cr  0.000  0.000  0.000
In  0.000  0.500  0.000
As  0.250  0.250  0.500

DFT (PBE-GGA) results for a geometry-optimized DyCuSn structure.

- energy of formation (eV per atom) = -0.568
- energy (eV per atom) = -4.80
- mass density (kg/m³) = 8581

Lattice parameters (Å, degrees): 4.431 4.431 6.796 90.00 90.00 90.00
Space group P4/nmm (No. 129, origin choice 2)
Unique sites:
Dy  0.250  0.250  0.206
Cu  0.250  0.750  0.500
Sn  0.250  0.250  0.736

DFT (PBE-GGA) results for a geometry-optimized LiY2RhO6 structure.

- energy (eV per atom) = -7.49
- mass density (kg/m³) = 5505

Lattice parameters (Å, degrees): 5.302 5.744 9.197 90.00 124.28 90.00
Space group P2_1/c (No. 14)
Unique sites:
Li  0.000  0.000  0.000
Y  0.225  0.082  0.747
Rh  0.500  0.000  0.500
O  0.135  0.183  0.444
O  0.265  0.704  0.438
O  0.373  0.042  0.253

DFT (PBE-GGA) results for a geometry-optimized LiY2PtC structure.

- energy of formation (eV per atom) = 0.283
- ΔE to the lowest computed polymorph (kJ/mol of atoms) = 69.06
- energy (eV per atom) = -5.74
- mass density (kg/m³) = 7138

Lattice parameters (Å, degrees): 5.098 5.098 3.508 90.00 90.00 90.00
Space group P4/mmm (No. 123)
Unique sites:
Li  0.000  0.000  0.000
Y  0.000  0.500  0.000
Pt  0.500  0.500  0.500
C  0.000  0.000  0.500

DFT (PBE-GGA) results for a geometry-optimized CoOs structure.

- energy of formation (eV per atom) = 0.191
- energy (eV per atom) = -8.98
- mass density (kg/m³) = 16554

Lattice parameters (Å, degrees): 2.618 2.618 3.646 90.00 90.00 90.00
Space group P4/mmm (No. 123)
Unique sites:
Co  0.000  0.000  0.000
Os  0.500  0.500  0.500